Below is a relaxed structure of Nd2CdIn, with properties calculated at the PBE-GGA level.

```
Nd2CdIn
1.0
0.000 3.873 3.873
3.873 0.000 3.873
3.873 3.873 0.000
Nd Cd In
2 1 1
direct
0.250 0.250 0.250
0.750 0.750 0.750
0.000 0.000 0.000
0.500 0.500 0.500
```

Summary:
Space-group type: Fm-3m, No. 225
Excess energy over the best structure of this formula in the dataset: 0 meV per atom
DOS(E_F): 5.3 states/eV/cell
Total moment: 0.00 Bohr magnetons per cell
Formation energy from the elements: -0.41 eV per atom